# ScTa2Cu2

Crystalline ScTa2Cu2 at its relaxed geometry (PBE, Alexandria via LeMat-Bulk).

- distance to the lowest polymorph of the same formula (meV per atom) = 0
- V (A^3/atom) = 16.7
- crystal system = tetragonal
- electronic total energy (eV per atom) = -7.45

```
data_ScTa2Cu2
_cell_length_a 7.3650
_cell_length_b 7.3650
_cell_length_c 3.0717
_cell_angle_alpha 90.00
_cell_angle_beta 90.00
_cell_angle_gamma 90.00
_space_group_name_H-M_alt 'P 1'
_space_group_IT_number 1
_space_group_name_Hall 'P 1'
loop_
_atom_site_label
_atom_site_type_symbol
_atom_site_fract_x
_atom_site_fract_y
_atom_site_fract_z
_atom_site_occupancy
Sc1 Sc 0.0000 0.0000 0.0000 1
Sc2 Sc 0.5000 0.5000 0.0000 1
Cu1 Cu 0.3786 0.8786 0.0000 1
Cu2 Cu 0.8786 0.6214 0.0000 1
Cu3 Cu 0.6214 0.1214 0.0000 1
Cu4 Cu 0.1214 0.3786 0.0000 1
Ta1 Ta 0.1731 0.6731 0.5000 1
Ta2 Ta 0.6731 0.8269 0.5000 1
Ta3 Ta 0.8269 0.3269 0.5000 1
Ta4 Ta 0.3269 0.1731 0.5000 1
```